1.
The following is a PBE calculation of a geometry-optimized Rb3Tb3ThTe8 structure, from Alexandria.

Formation energy from raw total energies: -1971 kJ/mol of formula units
Calculated total energy: -4.65 eV/atom

Cell and atoms, written as CIF:
```
data_Rb3Tb3ThTe8
_chemical_formula_sum 'Rb3 Tb3 Th1 Te8'
_cell_length_a 9.0150
_cell_length_b 9.0148
_cell_length_c 10.1526
_cell_angle_alpha 116.38
_cell_angle_beta 90.00
_cell_angle_gamma 120.00
_symmetry_space_group_name_H-M 'P 1'
_symmetry_Int_Tables_number 1
loop_
_symmetry_equiv_pos_as_xyz
'x,y,z'
loop_
_atom_site_label
_atom_site_type_symbol
_atom_site_fract_x
_atom_site_fract_y
_atom_site_fract_z
Rb1 Rb 0.0000 0.0000 0.0000
Rb2 Rb 0.0000 0.5000 0.0000
Rb3 Rb 0.5000 0.5000 0.0000
Tb1 Tb 0.5000 0.0000 0.5000
Tb2 Tb 0.5000 0.5000 0.5000
Tb3 Tb 0.0000 0.5000 0.5000
Th1 Th 0.0000 0.0000 0.5000
Te1 Te 0.2670 0.5340 0.3013
Te2 Te 0.7330 0.4660 0.6987
Te3 Te 0.7646 0.5292 0.3000
Te4 Te 0.2354 0.4708 0.7000
Te5 Te 0.7646 0.0353 0.3001
Te6 Te 0.2354 0.9647 0.6999
Te7 Te 0.2707 0.0353 0.3001
Te8 Te 0.7293 0.9647 0.6999
```


2.
The following is a PBE calculation of a geometry-optimized Rb3Tb2ThTe6 structure, from Alexandria.

Formation energy from raw total energies: -1518 kJ/mol of formula units
Calculated total energy: -4.51 eV/atom

Cell and atoms, written as CIF:
```
data_Rb3Tb2ThTe6
_chemical_formula_sum 'Rb3 Tb2 Th1 Te6'
_cell_length_a 7.8423
_cell_length_b 7.8423
_cell_length_c 9.0186
_cell_angle_alpha 98.33
_cell_angle_beta 98.33
_cell_angle_gamma 120.00
_symmetry_space_group_name_H-M 'P 1'
_symmetry_Int_Tables_number 1
loop_
_symmetry_equiv_pos_as_xyz
'x,y,z'
loop_
_atom_site_label
_atom_site_type_symbol
_atom_site_fract_x
_atom_site_fract_y
_atom_site_fract_z
Rb1 Rb 0.1662 0.8338 0.5000
Rb2 Rb 0.8338 0.1662 0.5000
Rb3 Rb 0.5000 0.5000 0.5000
Tb1 Tb 0.3333 0.6667 0.0000
Tb2 Tb 0.6667 0.3333 0.0000
Th1 Th 0.0000 0.0000 0.0000
Te1 Te 0.9321 0.5961 0.7962
Te2 Te 0.7319 0.7319 0.2037
Te3 Te 0.0679 0.4039 0.2038
Te4 Te 0.5961 0.9321 0.7962
Te5 Te 0.2681 0.2681 0.7963
Te6 Te 0.4039 0.0679 0.2038
```


3.
The following is a PBE calculation of a geometry-optimized Rb4Tb3TiTe8 structure, from Alexandria.

Formation energy from raw total energies: -1884 kJ/mol of formula units
Calculated total energy: -4.39 eV/atom

Cell and atoms, written as CIF:
```
data_Rb4Tb3TiTe8
_chemical_formula_sum 'Rb4 Tb3 Ti1 Te8'
_cell_length_a 8.9238
_cell_length_b 9.9742
_cell_length_c 8.9241
_cell_angle_alpha 116.58
_cell_angle_beta 120.00
_cell_angle_gamma 90.00
_symmetry_space_group_name_H-M 'P 1'
_symmetry_Int_Tables_number 1
loop_
_symmetry_equiv_pos_as_xyz
'x,y,z'
loop_
_atom_site_label
_atom_site_type_symbol
_atom_site_fract_x
_atom_site_fract_y
_atom_site_fract_z
Rb1 Rb 0.5000 0.0000 0.0000
Rb2 Rb 0.5000 0.0000 0.5000
Rb3 Rb 0.0000 0.0000 0.0000
Rb4 Rb 0.0000 0.0000 0.5000
Tb1 Tb 0.5000 0.5000 0.0000
Tb2 Tb 0.5000 0.5000 0.5000
Tb3 Tb 0.0000 0.5000 0.5000
Ti1 Ti 0.0000 0.5000 0.0000
Te1 Te 0.2220 0.6929 0.9710
Te2 Te 0.2221 0.6930 0.4441
Te3 Te 0.2658 0.2974 0.5316
Te4 Te 0.7490 0.6929 0.9710
Te5 Te 0.2510 0.3071 0.0290
Te6 Te 0.7342 0.7026 0.4684
Te7 Te 0.7779 0.3070 0.5559
Te8 Te 0.7780 0.3071 0.0290
```


4.
The following is a PBE calculation of a geometry-optimized Rb4TbTm3Te8 structure, from Alexandria.

Formation energy from raw total energies: -2108 kJ/mol of formula units
Calculated total energy: -4.31 eV/atom

Cell and atoms, written as CIF:
```
data_Rb4TbTm3Te8
_chemical_formula_sum 'Rb4 Tb1 Tm3 Te8'
_cell_length_a 8.9962
_cell_length_b 10.0023
_cell_length_c 8.9956
_cell_angle_alpha 116.73
_cell_angle_beta 120.00
_cell_angle_gamma 90.00
_symmetry_space_group_name_H-M 'P 1'
_symmetry_Int_Tables_number 1
loop_
_symmetry_equiv_pos_as_xyz
'x,y,z'
loop_
_atom_site_label
_atom_site_type_symbol
_atom_site_fract_x
_atom_site_fract_y
_atom_site_fract_z
Rb1 Rb 0.5000 0.0000 0.0000
Rb2 Rb 0.5000 0.0000 0.5000
Rb3 Rb 0.0000 0.0000 0.0000
Rb4 Rb 0.0000 0.0000 0.5000
Tb1 Tb 0.0000 0.5000 0.0000
Tm1 Tm 0.5000 0.5000 0.0000
Tm2 Tm 0.5000 0.5000 0.5000
Tm3 Tm 0.0000 0.5000 0.5000
Te1 Te 0.2344 0.6980 0.9636
Te2 Te 0.2343 0.6980 0.4687
Te3 Te 0.2679 0.3036 0.5357
Te4 Te 0.7293 0.6980 0.9636
Te5 Te 0.2707 0.3020 0.0364
Te6 Te 0.7321 0.6964 0.4643
Te7 Te 0.7657 0.3020 0.5313
Te8 Te 0.7656 0.3020 0.0364
```


5.
The following is a PBE calculation of a geometry-optimized Rb3Tb3TmTe8 structure, from Alexandria.

Formation energy from raw total energies: -1902 kJ/mol of formula units
Calculated total energy: -4.41 eV/atom

Cell and atoms, written as CIF:
```
data_Rb3Tb3TmTe8
_chemical_formula_sum 'Rb3 Tb3 Tm1 Te8'
_cell_length_a 8.8214
_cell_length_b 8.8257
_cell_length_c 10.2220
_cell_angle_alpha 115.59
_cell_angle_beta 90.00
_cell_angle_gamma 120.00
_symmetry_space_group_name_H-M 'P 1'
_symmetry_Int_Tables_number 1
loop_
_symmetry_equiv_pos_as_xyz
'x,y,z'
loop_
_atom_site_label
_atom_site_type_symbol
_atom_site_fract_x
_atom_site_fract_y
_atom_site_fract_z
Rb1 Rb 0.0000 0.0000 0.0000
Rb2 Rb 0.0000 0.5000 0.0000
Rb3 Rb 0.5000 0.5000 0.0000
Tb1 Tb 0.5000 0.0000 0.5000
Tb2 Tb 0.5000 0.5000 0.5000
Tb3 Tb 0.0000 0.5000 0.5000
Tm1 Tm 0.0000 0.0000 0.5000
Te1 Te 0.2662 0.5325 0.2989
Te2 Te 0.7338 0.4675 0.7011
Te3 Te 0.7682 0.5364 0.3016
Te4 Te 0.2318 0.4636 0.6984
Te5 Te 0.7682 0.0332 0.3016
Te6 Te 0.2318 0.9668 0.6984
Te7 Te 0.2650 0.0331 0.3016
Te8 Te 0.7350 0.9669 0.6984
```


6.
The following is a PBE calculation of a geometry-optimized Rb3TbU3Te8 structure, from Alexandria.

Formation energy from raw total energies: -1379 kJ/mol of formula units
Calculated total energy: -5.39 eV/atom

Cell and atoms, written as CIF:
```
data_Rb3TbU3Te8
_chemical_formula_sum 'Rb3 Tb1 U3 Te8'
_cell_length_a 8.9521
_cell_length_b 8.9521
_cell_length_c 10.1599
_cell_angle_alpha 116.14
_cell_angle_beta 90.00
_cell_angle_gamma 120.00
_symmetry_space_group_name_H-M 'P 1'
_symmetry_Int_Tables_number 1
loop_
_symmetry_equiv_pos_as_xyz
'x,y,z'
loop_
_atom_site_label
_atom_site_type_symbol
_atom_site_fract_x
_atom_site_fract_y
_atom_site_fract_z
Rb1 Rb 0.0000 0.0000 0.0000
Rb2 Rb 0.0000 0.5000 0.0000
Rb3 Rb 0.5000 0.5000 0.0000
Tb1 Tb 0.0000 0.0000 0.5000
U1 U 0.5000 0.0000 0.5000
U2 U 0.5000 0.5000 0.5000
U3 U 0.0000 0.5000 0.5000
Te1 Te 0.2661 0.5322 0.2983
Te2 Te 0.7339 0.4678 0.7017
Te3 Te 0.7661 0.5322 0.3008
Te4 Te 0.2339 0.4678 0.6992
Te5 Te 0.7661 0.0347 0.3008
Te6 Te 0.2339 0.9653 0.6992
Te7 Te 0.2686 0.0347 0.3008
Te8 Te 0.7314 0.9653 0.6992
```


7.
The following is a PBE calculation of a geometry-optimized Rb2Tb2UTe6 structure, from Alexandria.

Formation energy from raw total energies: -1254 kJ/mol of formula units
Calculated total energy: -4.94 eV/atom

Cell and atoms, written as CIF:
```
data_Rb2Tb2UTe6
_chemical_formula_sum 'Rb2 Tb2 U1 Te6'
_cell_length_a 7.7155
_cell_length_b 7.7155
_cell_length_c 9.1628
_cell_angle_alpha 98.18
_cell_angle_beta 98.18
_cell_angle_gamma 119.90
_symmetry_space_group_name_H-M 'P 1'
_symmetry_Int_Tables_number 1
loop_
_symmetry_equiv_pos_as_xyz
'x,y,z'
loop_
_atom_site_label
_atom_site_type_symbol
_atom_site_fract_x
_atom_site_fract_y
_atom_site_fract_z
Rb1 Rb 0.8321 0.1679 0.0000
Rb2 Rb 0.1679 0.8321 0.0000
Tb1 Tb 0.3324 0.6676 0.5000
Tb2 Tb 0.6676 0.3324 0.5000
U1 U 0.0000 0.0000 0.5000
Te1 Te 0.7357 0.7357 0.6963
Te2 Te 0.0689 0.3970 0.6981
Te3 Te 0.2643 0.2643 0.3037
Te4 Te 0.3970 0.0689 0.6981
Te5 Te 0.9311 0.6030 0.3019
Te6 Te 0.6030 0.9311 0.3019
```


8.
The following is a PBE calculation of a geometry-optimized Rb4TbU3Te8 structure, from Alexandria.

Formation energy from raw total energies: -1491 kJ/mol of formula units
Calculated total energy: -5.18 eV/atom

Cell and atoms, written as CIF:
```
data_Rb4TbU3Te8
_chemical_formula_sum 'Rb4 Tb1 U3 Te8'
_cell_length_a 9.0796
_cell_length_b 10.0771
_cell_length_c 9.0796
_cell_angle_alpha 116.78
_cell_angle_beta 120.00
_cell_angle_gamma 90.00
_symmetry_space_group_name_H-M 'P 1'
_symmetry_Int_Tables_number 1
loop_
_symmetry_equiv_pos_as_xyz
'x,y,z'
loop_
_atom_site_label
_atom_site_type_symbol
_atom_site_fract_x
_atom_site_fract_y
_atom_site_fract_z
Rb1 Rb 0.5000 0.0000 0.0000
Rb2 Rb 0.5000 0.0000 0.5000
Rb3 Rb 0.0000 0.0000 0.0000
Rb4 Rb 0.0000 0.0000 0.5000
Tb1 Tb 0.0000 0.5000 0.0000
U1 U 0.5000 0.5000 0.0000
U2 U 0.5000 0.5000 0.5000
U3 U 0.0000 0.5000 0.5000
Te1 Te 0.2329 0.7019 0.9690
Te2 Te 0.2329 0.7019 0.4659
Te3 Te 0.2659 0.2976 0.5317
Te4 Te 0.7361 0.7019 0.9690
Te5 Te 0.2639 0.2981 0.0310
Te6 Te 0.7341 0.7024 0.4683
Te7 Te 0.7671 0.2981 0.5341
Te8 Te 0.7671 0.2981 0.0310
```


9.
The following is a PBE calculation of a geometry-optimized Rb3Tb2UTe6 structure, from Alexandria.

Formation energy from raw total energies: -1384 kJ/mol of formula units
Calculated total energy: -4.72 eV/atom

Cell and atoms, written as CIF:
```
data_Rb3Tb2UTe6
_chemical_formula_sum 'Rb3 Tb2 U1 Te6'
_cell_length_a 7.9004
_cell_length_b 7.9004
_cell_length_c 8.9652
_cell_angle_alpha 98.45
_cell_angle_beta 98.45
_cell_angle_gamma 120.00
_symmetry_space_group_name_H-M 'P 1'
_symmetry_Int_Tables_number 1
loop_
_symmetry_equiv_pos_as_xyz
'x,y,z'
loop_
_atom_site_label
_atom_site_type_symbol
_atom_site_fract_x
_atom_site_fract_y
_atom_site_fract_z
Rb1 Rb 0.1663 0.8337 0.5000
Rb2 Rb 0.8337 0.1663 0.5000
Rb3 Rb 0.5000 0.5000 0.5000
Tb1 Tb 0.3334 0.6666 0.0000
Tb2 Tb 0.6666 0.3334 0.0000
U1 U 0.0000 0.0000 0.0000
Te1 Te 0.9330 0.5962 0.7989
Te2 Te 0.7304 0.7304 0.2012
Te3 Te 0.0670 0.4038 0.2011
Te4 Te 0.5962 0.9330 0.7989
Te5 Te 0.2696 0.2696 0.7988
Te6 Te 0.4038 0.0670 0.2011
```


10.
The following is a PBE calculation of a geometry-optimized Rb2TbU2Te6 structure, from Alexandria.

Formation energy from raw total energies: -1060 kJ/mol of formula units
Calculated total energy: -5.36 eV/atom

Cell and atoms, written as CIF:
```
data_Rb2TbU2Te6
_chemical_formula_sum 'Rb2 Tb1 U2 Te6'
_cell_length_a 7.7199
_cell_length_b 7.7199
_cell_length_c 9.1663
_cell_angle_alpha 98.04
_cell_angle_beta 98.04
_cell_angle_gamma 120.06
_symmetry_space_group_name_H-M 'P 1'
_symmetry_Int_Tables_number 1
loop_
_symmetry_equiv_pos_as_xyz
'x,y,z'
loop_
_atom_site_label
_atom_site_type_symbol
_atom_site_fract_x
_atom_site_fract_y
_atom_site_fract_z
Rb1 Rb 0.8341 0.1659 0.0000
Rb2 Rb 0.1659 0.8341 0.0000
Tb1 Tb 0.0000 0.0000 0.5000
U1 U 0.3330 0.6670 0.5000
U2 U 0.6670 0.3330 0.5000
Te1 Te 0.7297 0.7297 0.6979
Te2 Te 0.0674 0.4003 0.6984
Te3 Te 0.2703 0.2703 0.3021
Te4 Te 0.4003 0.0674 0.6984
Te5 Te 0.9326 0.5997 0.3016
Te6 Te 0.5997 0.9326 0.3016
```